Record 1
VASP calculation (PBE) on a geometry-optimized NdSm6Er2Th structure.

```
NdSm6Er2Th
1.0
4.691 -7.485 0.000
4.691 7.485 0.000
-1.183 0.000 9.570
Nd Sm Er Th
2 12 4 2
Direct
0.094 0.906 0.750
0.906 0.094 0.250
0.016 0.797 0.382
0.075 0.517 0.184
0.203 0.984 0.118
0.262 0.609 0.559
0.391 0.738 0.941
0.483 0.925 0.316
0.517 0.075 0.684
0.609 0.262 0.059
0.738 0.391 0.441
0.797 0.016 0.882
0.925 0.483 0.816
0.984 0.203 0.618
0.209 0.302 0.948
0.302 0.209 0.448
0.698 0.791 0.552
0.791 0.698 0.052
0.467 0.533 0.250
0.533 0.467 0.750
```

Symmetry ... No. 15
VASP energy ... -0.177 Ha/atom

Record 2
VASP calculation (PBE) on a geometry-optimized Nd3Sm6Er2Tl structure.

```
Nd3Sm6Er2Tl
1.0
3.117 -5.416 0.000
3.117 5.416 0.000
-2.124 0.000 11.602
Nd Sm Er Tl
3 6 2 1
Direct
0.000 0.000 0.000
0.332 0.668 0.000
0.668 0.332 0.000
0.093 0.420 0.258
0.253 0.253 0.745
0.420 0.093 0.258
0.580 0.907 0.742
0.747 0.747 0.255
0.907 0.580 0.742
0.166 0.834 0.500
0.834 0.166 0.500
0.500 0.500 0.500
```

Symmetry ... No. 12
VASP energy ... -0.166 Ha/atom

Record 3
VASP calculation (PBE) on a geometry-optimized Nd2Sm6Er3Tl structure.

```
Nd2Sm6Er3Tl
1.0
3.084 -5.350 0.000
3.084 5.350 0.000
-2.064 0.000 11.662
Nd Sm Er Tl
2 6 3 1
Direct
0.166 0.834 0.000
0.834 0.166 0.000
0.089 0.416 0.748
0.257 0.257 0.253
0.416 0.089 0.748
0.584 0.911 0.252
0.743 0.743 0.747
0.911 0.584 0.252
0.000 0.000 0.500
0.333 0.667 0.500
0.667 0.333 0.500
0.500 0.500 0.000
```

Symmetry ... No. 12
VASP energy ... -0.166 Ha/atom

Record 4
VASP calculation (PBE) on a geometry-optimized NdSmErTl structure.

```
NdSmErTl
1.0
4.868 0.000 0.000
0.000 4.890 0.000
0.000 0.000 4.995
Nd Sm Er Tl
1 1 1 1
Direct
0.000 0.000 0.000
0.500 0.500 0.000
0.500 0.000 0.500
0.000 0.500 0.500
```

Symmetry ... No. 47
VASP energy ... -0.158 Ha/atom

Record 5
VASP calculation (PBE) on a geometry-optimized NdSm2ErTl2 structure.

```
NdSm2ErTl2
1.0
5.179 0.000 0.000
0.000 10.153 0.000
0.000 0.000 6.923
Nd Sm Er Tl
2 4 2 4
Direct
0.000 0.044 0.000
0.000 0.956 0.500
0.000 0.317 0.374
0.000 0.683 0.874
0.500 0.454 0.093
0.500 0.546 0.593
0.500 0.189 0.718
0.500 0.811 0.218
0.000 0.360 0.837
0.000 0.640 0.337
0.500 0.130 0.264
0.500 0.870 0.764
```

Symmetry ... No. 26
VASP energy ... -0.154 Ha/atom

Record 6
VASP calculation (PBE) on a geometry-optimized NdSmErTl structure.

```
NdSmErTl
1.0
0.000 3.927 3.927
3.927 0.000 3.927
3.927 3.927 0.000
Nd Sm Er Tl
1 1 1 1
Direct
0.000 0.000 0.000
0.500 0.500 0.500
0.750 0.750 0.750
0.250 0.250 0.250
```

Symmetry ... No. 216
VASP energy ... -0.153 Ha/atom

Record 7
VASP calculation (PBE) on a geometry-optimized NdSmEr2Tl4 structure.

```
NdSmEr2Tl4
1.0
2.705 1.562 8.856
-2.705 1.562 8.856
0.000 -3.123 8.856
Nd Sm Er Tl
1 1 2 4
Direct
0.000 0.000 0.000
0.500 0.500 0.500
0.250 0.250 0.250
0.750 0.750 0.750
0.126 0.126 0.126
0.376 0.376 0.376
0.624 0.624 0.624
0.874 0.874 0.874
```

Symmetry ... No. 166
VASP energy ... -0.142 Ha/atom

Record 8
VASP calculation (PBE) on a geometry-optimized Nd6Sm3Er2Tl structure.

```
Nd6Sm3Er2Tl
1.0
3.126 -5.438 0.000
3.126 5.438 0.000
-2.138 0.000 11.655
Nd Sm Er Tl
6 3 2 1
Direct
0.080 0.408 0.244
0.247 0.247 0.754
0.408 0.080 0.244
0.592 0.920 0.756
0.753 0.753 0.246
0.920 0.592 0.756
0.168 0.832 0.500
0.500 0.500 0.500
0.832 0.168 0.500
0.334 0.666 0.000
0.666 0.334 0.000
0.000 0.000 0.000
```

Symmetry ... No. 12
VASP energy ... -0.166 Ha/atom

Record 9
VASP calculation (PBE) on a geometry-optimized Nd2SmEr3Tm6 structure.

```
Nd2SmEr3Tm6
1.0
3.067 -5.307 0.000
3.067 5.307 0.000
-2.041 0.000 11.491
Nd Sm Er Tm
2 1 3 6
Direct
0.167 0.833 0.000
0.833 0.167 0.000
0.500 0.500 0.000
0.000 0.000 0.500
0.333 0.667 0.500
0.667 0.333 0.500
0.081 0.414 0.746
0.253 0.253 0.254
0.414 0.081 0.746
0.586 0.919 0.254
0.747 0.747 0.746
0.919 0.586 0.254
```

Symmetry ... No. 12
VASP energy ... -0.167 Ha/atom

Record 10
VASP calculation (PBE) on a geometry-optimized Nd5SmErTm2 structure.

```
Nd5SmErTm2
1.0
2.817 -10.198 0.000
2.817 10.198 0.000
0.000 0.000 10.747
Nd Sm Er Tm
10 2 2 4
Direct
0.016 0.984 0.500
0.281 0.719 0.790
0.296 0.704 0.184
0.388 0.612 0.503
0.482 0.518 0.224
0.518 0.482 0.724
0.612 0.388 0.003
0.704 0.296 0.684
0.719 0.281 0.290
0.984 0.016 0.000
0.200 0.800 0.490
0.800 0.200 0.990
0.409 0.591 0.942
0.591 0.409 0.442
0.111 0.889 0.221
0.115 0.885 0.791
0.885 0.115 0.291
0.889 0.111 0.721
```

Symmetry ... No. 36
VASP energy ... -0.166 Ha/atom

Record 11
VASP calculation (PBE) on a geometry-optimized NdSm6Er2Tm3 structure.

```
NdSm6Er2Tm3
1.0
3.102 -5.371 0.000
3.102 5.371 0.000
-2.060 0.000 11.611
Nd Sm Er Tm
1 6 2 3
Direct
0.000 0.000 0.000
0.084 0.418 0.252
0.250 0.250 0.748
0.418 0.084 0.252
0.582 0.916 0.748
0.750 0.750 0.252
0.916 0.582 0.748
0.333 0.667 0.000
0.667 0.333 0.000
0.167 0.833 0.500
0.500 0.500 0.500
0.833 0.167 0.500
```

Symmetry ... No. 12
VASP energy ... -0.170 Ha/atom

Record 12
VASP calculation (PBE) on a geometry-optimized NdSmErTm structure.

```
NdSmErTm
1.0
1.797 1.037 11.577
-1.797 1.037 11.577
0.000 -2.075 11.577
Nd Sm Er Tm
1 1 1 1
Direct
0.000 0.000 0.000
0.166 0.166 0.166
0.750 0.750 0.750
0.582 0.582 0.582
```

Symmetry ... No. 160
VASP energy ... -0.169 Ha/atom

Record 13
VASP calculation (PBE) on a geometry-optimized Nd2Sm6ErTm3 structure.

```
Nd2Sm6ErTm3
1.0
3.113 -5.392 0.000
3.113 5.392 0.000
-2.071 0.000 11.684
Nd Sm Er Tm
2 6 1 3
Direct
0.167 0.833 0.000
0.833 0.167 0.000
0.083 0.415 0.746
0.252 0.252 0.254
0.415 0.083 0.746
0.585 0.917 0.254
0.748 0.748 0.746
0.917 0.585 0.254
0.500 0.500 0.000
0.000 0.000 0.500
0.334 0.666 0.500
0.666 0.334 0.500
```

Symmetry ... No. 12
VASP energy ... -0.170 Ha/atom

Record 14
VASP calculation (PBE) on a geometry-optimized Nd4SmEr2Tm structure.

```
Nd4SmEr2Tm
1.0
6.250 0.000 0.000
0.000 3.620 0.000
-2.100 0.000 11.677
Nd Sm Er Tm
4 1 2 1
Direct
0.248 0.000 0.247
0.251 0.500 0.751
0.749 0.500 0.249
0.752 0.000 0.753
0.500 0.500 0.500
0.000 0.000 0.500
0.000 0.500 0.000
0.500 0.000 0.000
```

Symmetry ... No. 10
VASP energy ... -0.171 Ha/atom

Record 15
VASP calculation (PBE) on a geometry-optimized NdSm2ErTm4 structure.

```
NdSm2ErTm4
1.0
6.778 -6.611 0.000
6.778 6.611 0.000
-3.381 0.000 5.866
Nd Sm Er Tm
2 4 2 8
Direct
0.000 0.500 0.000
0.500 0.000 0.500
0.000 0.000 0.000
0.000 0.000 0.500
0.000 0.500 0.500
0.500 0.000 0.000
0.500 0.500 0.000
0.500 0.500 0.500
0.254 0.254 0.005
0.254 0.254 0.505
0.254 0.746 0.000
0.254 0.746 0.500
0.746 0.254 0.000
0.746 0.254 0.500
0.746 0.746 0.495
0.746 0.746 0.995
```

Symmetry ... No. 15
VASP energy ... -0.153 Ha/atom

Record 16
VASP calculation (PBE) on a geometry-optimized Nd5Sm2ErTm structure.

```
Nd5Sm2ErTm
1.0
-4.276 4.276 8.464
4.276 -4.276 8.464
4.276 4.276 -8.464
Nd Sm Er Tm
10 4 2 2
Direct
0.000 0.000 0.000
0.074 0.574 0.935
0.139 0.074 0.500
0.361 0.861 0.935
0.426 0.361 0.500
0.500 0.500 0.000
0.574 0.639 0.500
0.639 0.139 0.065
0.861 0.926 0.500
0.926 0.426 0.065
0.123 0.377 0.500
0.377 0.877 0.255
0.623 0.123 0.745
0.877 0.623 0.500
0.250 0.750 0.500
0.750 0.250 0.500
0.250 0.250 0.000
0.750 0.750 0.000
```

Symmetry ... No. 140
VASP energy ... -0.162 Ha/atom

Record 17
VASP calculation (PBE) on a geometry-optimized Nd2SmEr5Tm structure.

```
Nd2SmEr5Tm
1.0
-4.328 4.328 7.728
4.328 -4.328 7.728
4.328 4.328 -7.728
Nd Sm Er Tm
4 2 10 2
Direct
0.117 0.617 0.734
0.383 0.117 0.500
0.617 0.883 0.500
0.883 0.383 0.266
0.250 0.250 0.000
0.750 0.750 0.000
0.000 0.000 0.000
0.072 0.149 0.500
0.149 0.649 0.077
0.351 0.428 0.500
0.428 0.928 0.077
0.500 0.500 0.000
0.572 0.072 0.923
0.649 0.572 0.500
0.851 0.351 0.923
0.928 0.851 0.500
0.250 0.750 0.500
0.750 0.250 0.500
```

Symmetry ... No. 140
VASP energy ... -0.160 Ha/atom

Record 18
VASP calculation (PBE) on a geometry-optimized NdSm2Er4Tm structure.

```
NdSm2Er4Tm
1.0
6.157 -3.558 0.000
6.157 3.558 0.000
-4.101 0.000 11.575
Nd Sm Er Tm
2 4 8 2
Direct
0.000 0.000 0.000
0.000 0.000 0.500
0.000 0.500 0.000
0.500 0.000 0.000
0.500 0.500 0.000
0.500 0.500 0.500
0.250 0.250 0.252
0.250 0.250 0.748
0.250 0.749 0.748
0.251 0.750 0.252
0.749 0.250 0.748
0.750 0.251 0.252
0.750 0.750 0.252
0.750 0.750 0.748
0.000 0.500 0.500
0.500 0.000 0.500
```

Symmetry ... No. 12
VASP energy ... -0.169 Ha/atom

Record 19
VASP calculation (PBE) on a geometry-optimized NdSmErTm structure.

```
NdSmErTm
1.0
0.000 4.028 4.028
4.028 0.000 4.028
4.028 4.028 0.000
Nd Sm Er Tm
1 1 1 1
Direct
0.000 0.000 0.000
0.500 0.500 0.500
0.250 0.250 0.250
0.750 0.750 0.750
```

Symmetry ... No. 216
VASP energy ... -0.166 Ha/atom

Record 20
VASP calculation (PBE) on a geometry-optimized NdSm2ErTm2 structure.

```
NdSm2ErTm2
1.0
6.985 0.000 0.000
0.000 9.788 0.000
0.000 0.000 5.624
Nd Sm Er Tm
2 4 2 4
Direct
0.000 0.000 0.000
0.500 0.500 0.500
0.247 0.333 0.000
0.253 0.833 0.500
0.747 0.167 0.500
0.753 0.667 0.000
0.000 0.500 0.500
0.500 0.000 0.000
0.250 0.167 0.500
0.250 0.667 0.000
0.750 0.333 0.000
0.750 0.833 0.500
```

Symmetry ... No. 58
VASP energy ... -0.167 Ha/atom